Zr2CrNi: optimized geometry, PBE-GGA.

Cell lengths 4.1000, 4.1000, 18.3417 Å; angles 90.00, 90.00, 90.00 degrees
Space group I-42d (No. 122)
Asymmetric unit:
Zr (0.2444, 0.2500, 0.1250) (multiplicity 8)
Cr (0.0000, 0.0000, 0.5000) (multiplicity 4)
Ni (0.0000, 0.0000, 0.0000) (multiplicity 4)

DOS at the Fermi energy = 6.3 states/eV/f.u.
ΔH_f (0 K) = 0.626 eV per atom